# 1
First-principles (PBE) data for an optimized crystal structure of Ce2AlCo3P4, as listed in the Alexandria database.

Computed properties:
formation energy	-9.54	eV/f.u.

Lattice parameters (Å, degrees): 4.0022 4.0022 9.2967 90.00 90.00 90.00
Space group P-4m2 (No. 115)
Asymmetric unit:
Ce 0.0000 0.5000 0.2383 (multiplicity 2)
Al 0.0000 0.0000 0.5000 (multiplicity 1)
Co 0.0000 0.5000 0.8916 (multiplicity 2)
Co 0.5000 0.5000 0.5000 (multiplicity 1)
P 0.0000 0.0000 0.0000 (multiplicity 1)
P 0.0000 0.5000 0.6456 (multiplicity 2)
P 0.5000 0.5000 0.0000 (multiplicity 1)

=====

# 2
First-principles (PBE) data for an optimized crystal structure of SrLa2ErS4, as listed in the Alexandria database.

Computed properties:
formation energy (no corrections)	-2.0609	eV/atom

Lattice parameters (Å, degrees): 7.1029 4.0734 7.1521 90.00 108.96 90.00
Space group P2/m (No. 10)
Asymmetric unit:
Sr 0.0000 0.0000 0.0000 (multiplicity 1)
La 0.0000 0.5000 0.5000 (multiplicity 1)
La 0.5000 0.0000 0.5000 (multiplicity 1)
Er 0.5000 0.5000 0.0000 (multiplicity 1)
S 0.2603 0.5000 0.2419 (multiplicity 2)
S 0.2672 0.0000 0.7672 (multiplicity 2)